Material: TiAsHRu
Method: DFT, PBE-GGA
State: relaxed

Unit cell a=3.9138 b=3.9138 c=6.4199 alpha=90.00 beta=90.00 gamma=90.00
Space group P4/nmm (No. 129, origin choice 2)
One atom of each set of equivalent atoms:
Ti 0.2500 0.2500 0.1463 x2
As 0.2500 0.2500 0.7282 x2
H 0.2500 0.7500 0.0000 x2
Ru 0.2500 0.7500 0.5000 x2

- N(E_F): 0.7115 states/eV per atom
- VASP energy: -6.6404 eV/atom
- Theoretical density: 7594 kg/m³